K2TaGaSe5 | GGA-PBE | optimized geometry

The value obtained for the energy relative to the elements, uncorrected is -0.89 eV/atom. The value obtained for the size of the total moment is 0.000 μB/cell. As for the density of states at the Fermi level: 0.12 states/eV per atom. The uncorrected energy comes out at -0.1735 Ha/atom.

Cell: 3.790 9.881 14.520 Å, 90.00 90.00 101.06°
Fractional positions:
K 0.871 0.741 0.809
K 0.113 0.226 0.679
K 0.129 0.259 0.309
K 0.887 0.774 0.179
Ta 0.779 0.558 0.525
Ta 0.221 0.442 0.025
Ga 0.568 0.137 0.932
Ga 0.432 0.863 0.432
Se 0.343 0.685 0.000
Se 0.697 0.395 0.898
Se 0.507 0.014 0.794
Se 0.287 0.574 0.648
Se 0.930 0.860 0.539
Se 0.657 0.315 0.500
Se 0.303 0.605 0.398
Se 0.493 0.986 0.294
Se 0.713 0.426 0.148
Se 0.070 0.140 0.039

CuB3O | GGA-PBE | optimized geometry

The value obtained for the energy relative to the elements, uncorrected is 1.64 eV/atom. The value obtained for the size of the total moment is 0.000 μB/cell. As for the density of states at the Fermi level: 0.37 states/eV per atom. The energy relative to the lowest polymorph listed for this composition is 0 meV per atom. The uncorrected energy comes out at -0.1536 Ha/atom.

Cell: 3.530 3.530 3.530 Å, 90.00 90.00 90.00°
Fractional positions:
B 0.000 0.500 0.000
B 0.000 0.000 0.500
B 0.500 0.000 0.000
O 0.000 0.000 0.000
Cu 0.500 0.500 0.500

HoTePd2 | GGA-PBE | optimized geometry

The value obtained for the energy relative to the elements, uncorrected is -0.75 eV/atom. The value obtained for the size of the total moment is 0.000 μB/cell. As for the density of states at the Fermi level: 0.43 states/eV per atom. The energy relative to the lowest polymorph listed for this composition is 0 meV per atom. The uncorrected energy comes out at -0.1941 Ha/atom.

Cell: 4.293 4.330 4.330 Å, 90.00 90.00 90.00°
Fractional positions:
Te 0.500 0.500 0.500
Ho 0.500 0.000 0.000
Pd 0.000 0.000 0.500
Pd 0.000 0.500 0.000

NaBe2Nb2 | GGA-PBE | optimized geometry

The value obtained for the size of the total moment is 0.000 μB/cell. As for the density of states at the Fermi level: 0.66 states/eV per atom. Its formation energy from the elements is 0.42 eV/atom. The uncorrected energy comes out at -0.1972 Ha/atom.

Cell: 7.842 7.842 2.605 Å, 90.00 90.00 90.00°
Fractional positions:
Na 0.000 0.000 0.000
Na 0.500 0.500 0.000
Nb 0.129 0.629 0.500
Nb 0.629 0.871 0.500
Nb 0.871 0.371 0.500
Nb 0.371 0.129 0.500
Be 0.337 0.837 0.000
Be 0.837 0.663 0.000
Be 0.663 0.163 0.000
Be 0.163 0.337 0.000

AcPr8N6 | GGA-PBE | optimized geometry

The value obtained for the energy relative to the elements, uncorrected is -1.00 eV/atom. The value obtained for the size of the total moment is 1.819 μB/cell. As for the density of states at the Fermi level: 0.54 states/eV per atom. The uncorrected energy comes out at -0.2630 Ha/atom.

Cell: 6.451 6.451 10.209 Å, 71.58 71.58 60.00°
Site moments in Bohr magnetons follow the coordinates.
Fractional positions:
Ac 0.000 0.000 0.000  0.03
Pr 0.768 0.436 0.694  0.08
Pr 0.898 0.232 0.306  0.08
Pr 0.564 0.898 0.306  0.08
Pr 0.333 0.333 0.000  0.05
Pr 0.667 0.667 0.000  0.05
Pr 0.436 0.102 0.694  0.08
Pr 0.102 0.768 0.694  0.08
Pr 0.232 0.564 0.306  0.08
N 0.942 0.603 0.175  -0.01
N 0.720 0.058 0.825  -0.01
N 0.397 0.720 0.825  -0.01
N 0.603 0.280 0.175  -0.01
N 0.280 0.942 0.175  -0.01
N 0.058 0.397 0.825  -0.01